[1]
Here is crystalline GeTeRh2 at its relaxed geometry from the Alexandria database. Energies are from PBE.

```
data_GeTeRh2
_chemical_formula_sum 'Ge4 Te4 Rh8'
_cell_length_a 5.234
_cell_length_b 5.234
_cell_length_c 13.123
_cell_angle_alpha 90.00
_cell_angle_beta 90.00
_cell_angle_gamma 90.00
_symmetry_space_group_name_H-M 'I -4 2 d'
_symmetry_Int_Tables_number 122
_symmetry_space_group_name_Hall 'I -4 2bw'
loop_
_atom_site_label
_atom_site_fract_x
_atom_site_fract_y
_atom_site_fract_z
Ge1 0.000 0.000 0.000
Te1 0.000 0.000 0.500
Rh1 0.216 0.250 0.125
```

## Properties
E above lowest polymorph   0.01 eV per formula unit
DOS(E_F)   10.30 states/eV per cell
ρ   7.50 Mg/m³
Size of the total moment   0.0 Bohr magnetons per cell
Formation energy from raw total energies   -0.08 eV/atom

[2]
Here is crystalline GeTeRh2 at its relaxed geometry from the Alexandria database. Energies are from PBE.

```
data_GeTeRh2
_chemical_formula_sum 'Ge4 Te4 Rh8'
_cell_length_a 6.453
_cell_length_b 6.453
_cell_length_c 6.453
_cell_angle_alpha 90.00
_cell_angle_beta 90.00
_cell_angle_gamma 90.00
_symmetry_space_group_name_H-M 'F m -3 m'
_symmetry_Int_Tables_number 225
_symmetry_space_group_name_Hall '-F 4 2 3'
loop_
_atom_site_label
_atom_site_fract_x
_atom_site_fract_y
_atom_site_fract_z
Ge1 0.000 0.000 0.000
Te1 0.000 0.000 0.500
Rh1 0.250 0.250 0.250
```

## Properties
E above lowest polymorph   0.00 eV per formula unit
DOS(E_F)   12.19 states/eV per cell
ρ   10.04 Mg/m³
Size of the total moment   0.0 Bohr magnetons per cell
Formation energy from raw total energies   -0.08 eV/atom